A plane-wave DFT calculation with PBE-GGA was carried out for Ce4Ga3Ru after structural relaxation.

Lattice parameters (Å, degrees): 4.461 4.525 9.093 77.11 104.20 90.00
Fractional positions:
1 Ce 0.620 0.339 0.240
2 Ce 0.380 0.661 0.760
3 Ce 0.882 0.098 0.763
4 Ce 0.118 0.902 0.237
5 Ga 0.000 0.500 0.000
6 Ga 0.250 0.288 0.499
7 Ga 0.750 0.712 0.501
8 Ru 0.500 0.000 0.000

Computed properties:
Its crystal system is monoclinic. The calculation puts the magnetic moment at 0.000 μB/atom. The formation energy is -43.7 kJ per mole of atoms.



A plane-wave DFT calculation with PBE-GGA was carried out for La3Tb2Nd3 after structural relaxation.

Lattice parameters (Å, degrees): 5.198 5.211 11.003 103.70 103.66 90.00
Fractional positions:
1 La 0.627 0.627 0.254
2 La 0.373 0.373 0.746
3 La 0.500 0.000 0.000
4 Tb 0.749 0.249 0.499
5 Tb 0.251 0.751 0.501
6 Nd 0.128 0.128 0.257
7 Nd 0.000 0.500 0.000
8 Nd 0.872 0.872 0.743

Computed properties:
Its crystal system is orthorhombic. The calculation puts the magnetic moment at 0.000 μB/atom. The formation energy is 1.8 kJ per mole of atoms.



A plane-wave DFT calculation with PBE-GGA was carried out for AcPrC4 after structural relaxation.

Lattice parameters (Å, degrees): 3.986 4.374 7.116 80.78 73.74 62.90
Fractional positions:
1 Ac 0.000 0.000 0.000
2 Pr 0.500 0.500 0.500
3 C 0.804 0.607 0.785
4 C 0.295 0.099 0.311
5 C 0.196 0.393 0.215
6 C 0.705 0.901 0.689

Computed properties:
Its crystal system is monoclinic. The calculation puts the magnetic moment at 0.000 μB/atom. The formation energy is -8.0 kJ per mole of atoms.



A plane-wave DFT calculation with PBE-GGA was carried out for Rb12Br3O5 after structural relaxation.

Lattice parameters (Å, degrees): 15.621 15.621 15.621 109.47 109.47 109.47
Fractional positions:
1 Br 0.750 0.375 0.125
2 Br 0.875 0.750 0.125
3 Br 0.375 0.750 0.625
4 Br 0.250 0.125 0.375
5 Br 0.875 0.125 0.250
6 Br 0.375 0.625 0.250
7 Br 0.625 0.375 0.750
8 Br 0.125 0.875 0.750
9 Br 0.750 0.875 0.625
10 Br 0.625 0.250 0.375
11 Br 0.125 0.250 0.875
12 Br 0.250 0.625 0.875
13 O 0.125 0.375 0.250
14 O 0.000 0.500 0.000
15 O 0.000 0.000 0.000
16 O 0.375 0.250 0.125
17 O 0.500 0.000 0.500
18 O 0.500 0.500 0.000
19 O 0.125 0.750 0.375
20 O 0.750 0.125 0.875
21 O 0.750 0.625 0.375
22 O 0.375 0.125 0.750
23 O 0.625 0.875 0.250
24 O 0.500 0.500 0.500
25 O 0.500 0.000 0.000
26 O 0.000 0.000 0.500
27 O 0.250 0.375 0.625
28 O 0.250 0.875 0.125
29 O 0.000 0.500 0.500
30 O 0.875 0.250 0.625
31 O 0.625 0.750 0.875
32 O 0.875 0.625 0.750
33 Rb 0.696 0.113 0.015
34 Rb 0.319 0.515 0.402
35 Rb 0.985 0.387 0.304
36 Rb 0.515 0.196 0.113
37 Rb 0.583 0.696 0.681
38 Rb 0.985 0.598 0.181
39 Rb 0.319 0.804 0.417
40 Rb 0.098 0.917 0.113
41 Rb 0.598 0.985 0.681
42 Rb 0.696 0.583 0.181
43 Rb 0.804 0.485 0.387
44 Rb 0.819 0.902 0.015
45 Rb 0.113 0.696 0.515
46 Rb 0.387 0.402 0.083
47 Rb 0.083 0.902 0.387
48 Rb 0.417 0.113 0.598
49 Rb 0.083 0.181 0.196
50 Rb 0.485 0.681 0.098
51 Rb 0.819 0.917 0.304
52 Rb 0.113 0.417 0.098
53 Rb 0.387 0.985 0.804
54 Rb 0.598 0.613 0.417
55 Rb 0.902 0.819 0.515
56 Rb 0.804 0.319 0.917
57 Rb 0.402 0.387 0.583
58 Rb 0.098 0.181 0.485
59 Rb 0.196 0.681 0.083
60 Rb 0.181 0.083 0.696
61 Rb 0.613 0.015 0.196
62 Rb 0.887 0.583 0.902
63 Rb 0.515 0.319 0.902
64 Rb 0.583 0.887 0.402
65 Rb 0.917 0.819 0.804
66 Rb 0.917 0.098 0.613
67 Rb 0.887 0.304 0.485
68 Rb 0.181 0.098 0.985
69 Rb 0.613 0.598 0.917
70 Rb 0.402 0.015 0.319
71 Rb 0.304 0.417 0.819
72 Rb 0.196 0.515 0.613
73 Rb 0.902 0.083 0.887
74 Rb 0.681 0.196 0.583
75 Rb 0.485 0.804 0.887
76 Rb 0.015 0.402 0.819
77 Rb 0.417 0.304 0.319
78 Rb 0.015 0.613 0.696
79 Rb 0.681 0.485 0.598
80 Rb 0.304 0.887 0.985

Computed properties:
For the uncorrected formation energy, the calculation gives -1.150 eV/atom. Its crystal system is cubic. The calculation puts the magnetic moment at 0.056 μB/atom.



A plane-wave DFT calculation with PBE-GGA was carried out for LiHoLuTl after structural relaxation.

Lattice parameters (Å, degrees): 5.216 5.216 5.216 60.00 60.00 60.00
Fractional positions:
1 Tl 0.500 0.500 0.500
2 Lu 0.250 0.250 0.250
3 Ho 0.750 0.750 0.750
4 Li 0.000 0.000 0.000

Computed properties:
Its crystal system is cubic. The calculation puts the magnetic moment at 0.000 μB/atom. The formation energy is -16.4 kJ per mole of atoms.



A plane-wave DFT calculation with PBE-GGA was carried out for NpPa2MoN6 after structural relaxation.

Lattice parameters (Å, degrees): 5.783 5.783 5.798 60.08 60.08 60.00
Fractional positions:
1 Np 0.811 0.811 0.566
2 Pa 0.532 0.532 0.405
3 Pa 0.035 0.035 0.895
4 Mo 0.317 0.317 0.048
5 N 0.595 0.185 0.267
6 N 0.185 0.953 0.267
7 N 0.953 0.595 0.267
8 N 0.439 0.685 0.767
9 N 0.685 0.109 0.767
10 N 0.109 0.439 0.767

Computed properties:
For the uncorrected formation energy, the calculation gives -1.081 eV/atom. Its crystal system is trigonal. The calculation puts the magnetic moment at 0.296 μB/atom.